(1)
DFT (GGA-PBE) results for a relaxed structure of Dy6Bi3Te.

Results
crystal system: orthorhombic
total moment: 0.08 μB per atom
space group: No. 36

The structure in POSCAR format:
```
Dy6Bi3Te
1.0
7.518 0.000 0.000
0.000 9.470 -0.123
0.000 -2.233 9.204
Dy Bi Te
12 6 2
direct
0.156 0.721 0.610
0.656 0.610 0.721
0.235 0.451 0.917
0.735 0.917 0.451
0.253 0.004 0.996
0.632 0.248 0.752
0.132 0.752 0.248
0.753 0.996 0.004
0.235 0.083 0.549
0.735 0.549 0.083
0.156 0.390 0.279
0.656 0.279 0.390
0.494 0.914 0.720
0.994 0.720 0.914
0.331 0.412 0.588
0.831 0.588 0.412
0.994 0.086 0.280
0.494 0.280 0.086
0.000 0.167 0.833
0.500 0.833 0.167
```

(2)
DFT (GGA-PBE) results for a relaxed structure of Dy7Bi2Te2.

Results
crystal system: orthorhombic
total moment: 0.00 μB per atom
space group: No. 65

The structure in POSCAR format:
```
Dy7Bi2Te2
1.0
7.164 -0.004 -0.343
0.003 6.943 0.003
-0.789 -0.001 7.129
Dy Bi Te
7 2 2
direct
0.000 0.264 0.500
0.500 0.736 0.000
0.000 0.736 0.500
0.500 0.264 0.000
0.000 0.000 0.000
0.500 0.741 0.500
0.500 0.259 0.500
0.807 0.500 0.807
0.193 0.500 0.193
0.723 0.000 0.277
0.277 0.000 0.723
```

(3)
DFT (GGA-PBE) results for a relaxed structure of Dy10Bi3Te3.

Results
crystal system: hexagonal
total moment: 0.00 μB per atom
space group: No. 189

The structure in POSCAR format:
```
Dy10Bi3Te3
1.0
-2.557 5.665 0.598
-8.297 -3.650 -0.895
3.749 0.819 8.261
Dy Bi Te
10 3 3
direct
0.249 0.667 0.333
0.249 0.333 0.667
0.751 0.333 0.667
0.751 0.667 0.333
0.500 0.000 0.750
0.500 0.750 0.000
0.500 0.250 0.250
0.000 0.000 0.250
0.000 0.250 0.000
0.000 0.750 0.750
0.500 0.000 0.389
0.500 0.389 0.000
0.500 0.611 0.611
0.000 0.000 0.615
0.000 0.615 0.000
0.000 0.385 0.385
```

(4)
DFT (GGA-PBE) results for a relaxed structure of DyBi3Te6.

Results
crystal system: monoclinic
total moment: 0.00 μB per atom
space group: No. 11

The structure in POSCAR format:
```
DyBi3Te6
1.0
-1.127 -3.285 2.661
8.408 -8.019 -6.338
6.175 5.929 9.935
Dy Bi Te
2 6 12
direct
0.750 0.041 0.692
0.250 0.959 0.308
0.750 0.439 0.839
0.250 0.561 0.161
0.750 0.702 0.465
0.250 0.298 0.535
0.750 0.149 0.099
0.250 0.851 0.901
0.750 0.469 0.618
0.250 0.531 0.382
0.750 0.926 0.111
0.250 0.074 0.889
0.750 0.396 0.073
0.250 0.604 0.927
0.750 0.764 0.264
0.250 0.236 0.736
0.750 0.098 0.469
0.250 0.902 0.531
0.750 0.810 0.734
0.250 0.190 0.266
```

(5)
DFT (GGA-PBE) results for a relaxed structure of Dy3BiTe6.

Results
crystal system: trigonal
total moment: 0.00 μB per atom
space group: No. 148

The structure in POSCAR format:
```
Dy3BiTe6
1.0
-6.001 -2.924 6.160
0.520 -8.363 -3.508
6.819 -1.927 5.683
Dy Bi Te
6 2 12
direct
0.432 0.921 0.759
0.921 0.759 0.432
0.241 0.568 0.079
0.759 0.432 0.921
0.079 0.241 0.568
0.568 0.079 0.241
0.000 0.000 0.000
0.500 0.500 0.500
0.319 0.902 0.089
0.098 0.911 0.681
0.595 0.824 0.469
0.911 0.681 0.098
0.469 0.595 0.824
0.176 0.531 0.405
0.824 0.469 0.595
0.531 0.405 0.176
0.089 0.319 0.902
0.405 0.176 0.531
0.902 0.089 0.319
0.681 0.098 0.911
```

(6)
DFT (GGA-PBE) results for a relaxed structure of Dy3Bi2Te.

Results
E above lowest polymorph: 0 meV per atom
crystal system: orthorhombic
total moment: 0.00 μB per atom
space group: No. 63

The structure in POSCAR format:
```
Dy3Bi2Te
1.0
-6.040 -1.351 0.370
1.237 -3.186 8.548
-2.063 8.885 -1.243
Dy Bi Te
6 4 2
direct
0.993 0.832 0.500
0.493 0.500 0.168
0.993 0.500 0.832
0.493 0.168 0.500
0.493 0.837 0.837
0.993 0.163 0.163
0.493 0.832 0.501
0.993 0.499 0.168
0.493 0.501 0.832
0.993 0.168 0.499
0.993 0.836 0.836
0.493 0.164 0.164
```

(7)
DFT (GGA-PBE) results for a relaxed structure of DyBiTe.

Results
crystal system: tetragonal
total moment: 0.00 μB per atom
space group: No. 107

The structure in POSCAR format:
```
DyBiTe
1.0
-2.229 -1.440 2.921
3.002 -2.280 1.167
1.432 6.011 1.389
Te Bi Dy
1 1 1
direct
0.305 0.305 0.610
0.008 0.008 0.016
0.687 0.687 0.373
```

(8)
DFT (GGA-PBE) results for a relaxed structure of Dy6BiTe5.

Results
crystal system: monoclinic
total moment: 0.00 μB per atom
space group: No. 12

The structure in POSCAR format:
```
Dy6BiTe5
1.0
7.402 -1.188 -0.919
-2.860 6.930 -0.919
-0.427 -0.539 7.578
Te Bi Dy
5 1 6
direct
0.834 0.166 0.500
0.667 0.333 0.000
0.500 0.500 0.500
0.333 0.667 0.000
0.166 0.834 0.500
0.000 0.000 0.000
0.915 0.581 0.746
0.419 0.085 0.254
0.750 0.750 0.254
0.250 0.250 0.746
0.581 0.915 0.746
0.085 0.419 0.254
```

(9)
DFT (GGA-PBE) results for a relaxed structure of Dy3BiTe.

Results
crystal system: monoclinic
total moment: 0.00 μB per atom
space group: No. 11

The structure in POSCAR format:
```
Dy3BiTe
1.0
-2.690 2.468 2.132
-2.397 -6.738 4.776
6.456 2.118 5.691
Dy Bi Te
6 2 2
direct
0.750 0.624 0.368
0.250 0.376 0.632
0.750 0.345 0.993
0.250 0.880 0.630
0.250 0.655 0.007
0.750 0.120 0.370
0.250 0.367 0.263
0.750 0.633 0.737
0.250 0.872 0.286
0.750 0.128 0.714
```

(10)
DFT (GGA-PBE) results for a relaxed structure of Dy6Bi5Te.

Results
crystal system: monoclinic
total moment: 0.00 μB per atom
space group: No. 12

The structure in POSCAR format:
```
Dy6Bi5Te
1.0
7.627 0.184 1.158
1.872 6.469 3.771
0.128 0.071 7.713
Te Bi Dy
1 5 6
direct
0.000 0.000 0.000
0.500 0.166 0.668
0.000 0.333 0.334
0.500 0.500 0.000
0.000 0.667 0.666
0.500 0.834 0.332
0.749 0.084 0.335
0.251 0.582 0.335
0.251 0.251 0.000
0.749 0.749 0.000
0.749 0.418 0.665
0.251 0.916 0.665
```

(11)
DFT (GGA-PBE) results for a relaxed structure of Dy4Bi5Te.

Results
crystal system: monoclinic
total moment: 0.00 μB per atom
space group: No. 12

The structure in POSCAR format:
```
Dy4Bi5Te
1.0
4.483 0.000 0.000
0.000 8.146 1.694
-2.241 0.411 9.201
Dy Bi Te
4 5 1
direct
0.342 0.947 0.684
0.047 0.734 0.094
0.658 0.053 0.316
0.953 0.266 0.906
0.866 0.658 0.731
0.791 0.227 0.583
0.209 0.773 0.417
0.500 0.500 0.000
0.134 0.342 0.269
0.500 0.000 0.000
```

(12)
DFT (GGA-PBE) results for a relaxed structure of DyBiTe2.

Results
crystal system: trigonal
total moment: 0.00 μB per atom
space group: No. 166

The structure in POSCAR format:
```
DyBiTe2
1.0
-3.960 1.092 0.882
-2.998 -0.440 -2.910
-4.111 -8.881 2.545
Te Bi Dy
2 1 1
direct
0.104 0.104 0.687
0.896 0.896 0.313
0.000 0.000 0.000
0.500 0.500 0.500
```

Number 1: volume 32.661 A^3/atom, DFT total energy -4.86 eV per atom. Number 2: volume 32.065 A^3/atom, DFT total energy -4.64 eV per atom. Number 3: volume 28.043 A^3/atom, DFT total energy -5.01 eV per atom. Number 4: volume 35.736 A^3/atom, DFT total energy -4.00 eV per atom. Number 5: volume 37.472 A^3/atom, DFT total energy -4.68 eV per atom. Number 6: volume 38.182 A^3/atom, DFT total energy -4.89 eV per atom. Number 7: volume 29.517 A^3/atom, DFT total energy -4.62 eV per atom. Number 8: volume 29.561 A^3/atom, DFT total energy -5.15 eV per atom. Number 9: volume 32.205 A^3/atom, DFT total energy -4.96 eV per atom. Number 10: volume 31.263 A^3/atom, DFT total energy -5.13 eV per atom. Number 11: volume 33.288 A^3/atom, DFT total energy -4.73 eV per atom. Number 12: volume 37.517 A^3/atom, DFT total energy -4.40 eV per atom.